[1]
VASP calculation (PBE) on a relaxed structure of Ba2MoRh.

Unit cell a=4.229 b=5.386 c=10.070 alpha=90.00 beta=90.00 gamma=90.00
Space group Immm (No. 71)
One atom of each set of equivalent atoms:
1 Ba 0.000 0.000 0.210 (multiplicity 4)
2 Mo 0.000 0.500 0.000 (multiplicity 2)
3 Rh 0.000 0.500 0.500 (multiplicity 2)



[2]
VASP calculation (PBE) on a relaxed structure of BaMoRh.

Unit cell a=6.574 b=6.574 c=6.574 alpha=90.00 beta=90.00 gamma=90.00
Space group F-43m (No. 216)
One atom of each set of equivalent atoms:
1 Ba 0.000 0.000 0.000 (multiplicity 4)
2 Mo 0.250 0.250 0.250 (multiplicity 4)
3 Rh 0.000 0.000 0.500 (multiplicity 4)



[3]
VASP calculation (PBE) on a relaxed structure of BaMo2Rh.

Unit cell a=9.272 b=3.252 c=6.578 alpha=90.00 beta=106.09 gamma=90.00
Space group Cm (No. 8)
One atom of each set of equivalent atoms:
1 Ba 0.000 0.000 0.000 (multiplicity 2)
2 Mo 0.196 0.000 0.614 (multiplicity 2)
3 Mo 0.496 0.000 0.484 (multiplicity 2)
4 Rh 0.267 0.500 0.340 (multiplicity 2)



[4]
VASP calculation (PBE) on a relaxed structure of BaMo2Rh.

Unit cell a=3.2070 b=3.2070 c=28.1920 alpha=90.00 beta=90.00 gamma=120.00
Space group R3m (No. 160, hexagonal axes)
One atom of each set of equivalent atoms:
1 Ba 0.0000 0.0000 0.0000 (multiplicity 3)
2 Mo 0.0000 0.0000 0.5023 (multiplicity 3)
3 Mo 0.0000 0.0000 0.7741 (multiplicity 3)
4 Rh 0.0000 0.0000 0.2374 (multiplicity 3)



[5]
VASP calculation (PBE) on a relaxed structure of BaMo2Rh.

Unit cell a=4.890 b=4.890 c=18.092 alpha=90.00 beta=90.00 gamma=90.00
Space group I-42d (No. 122)
One atom of each set of equivalent atoms:
1 Ba 0.000 0.000 0.000 (multiplicity 4)
2 Mo 0.019 0.250 0.625 (multiplicity 8)
3 Rh 0.000 0.000 0.500 (multiplicity 4)



[6]
VASP calculation (PBE) on a relaxed structure of BaMoRh.

Unit cell a=4.1948 b=4.1948 c=5.3841 alpha=90.00 beta=90.00 gamma=120.00
Space group P3m1 (No. 156)
One atom of each set of equivalent atoms:
1 Ba 0.0000 0.0000 0.0000 (multiplicity 1)
2 Mo 0.3333 0.6667 0.5194 (multiplicity 1)
3 Rh 0.6667 0.3333 0.4681 (multiplicity 1)



| no. | DOS(E_F) (states/eV/atom) | VASP energy (eV/atom) |
| --- | --- | --- |
| 1 | 0.740 | -4.59 |
| 2 | 1.331 | -5.59 |
| 3 | 1.155 | -7.15 |
| 4 | 0.989 | -7.04 |
| 5 | 1.306 | -6.73 |
| 6 | 1.658 | -6.27 |